Computed, not measured: a geometry-optimized LaY14Ho structure at the PBE-GGA level of DFT.

## Properties
DOS(E_F) = 21.986 states/eV/cell
M_tot = 0.00 μB per formula unit
volume = 519 Å³ per cell
ΔH_f (0 K) = 0.0232 eV per atom

The structure in CIF format:
```
data_LaY14Ho
_space_group_name_H-M_alt 'P 4/m m m'
_space_group_IT_number 123
_space_group_name_Hall '-P 4 2'
_cell_length_a 7.163
_cell_length_b 7.163
_cell_length_c 10.110
_cell_angle_alpha 90.00
_cell_angle_beta 90.00
_cell_angle_gamma 90.00
loop_
_atom_site_label
_atom_site_fract_x
_atom_site_fract_y
_atom_site_fract_z
_atom_site_occupancy
La1 0.000 0.000 0.000 1
Y1 0.000 0.000 0.500 1
Y2 0.000 0.500 0.000 1
Y3 0.000 0.500 0.500 1
Y4 0.251 0.251 0.251 1
Y5 0.500 0.500 0.500 1
Ho1 0.500 0.500 0.000 1
```

=====

Computed, not measured: a geometry-optimized Zr2SnP structure at the PBE-GGA level of DFT.

## Properties
DOS(E_F) = 11.037 states/eV/cell
M_tot = 0.00 μB per formula unit
ΔE to the lowest computed polymorph = 911 meV per atom
volume = 478 Å³ per cell
ΔH_f (0 K) = -0.0370 eV per atom

The structure in CIF format:
```
data_Zr2SnP
_space_group_name_H-M_alt 'I -4 2 d'
_space_group_IT_number 122
_space_group_name_Hall 'I -4 2bw'
_cell_length_a 6.163
_cell_length_b 6.163
_cell_length_c 12.573
_cell_angle_alpha 90.00
_cell_angle_beta 90.00
_cell_angle_gamma 90.00
loop_
_atom_site_label
_atom_site_fract_x
_atom_site_fract_y
_atom_site_fract_z
_atom_site_occupancy
Zr1 0.204 0.250 0.125 1
Sn1 0.000 0.000 0.500 1
P1 0.000 0.000 0.000 1
```

=====

Computed, not measured: a geometry-optimized ZrCrRu structure at the PBE-GGA level of DFT.

## Properties
DOS(E_F) = 6.990 states/eV/cell
M_tot = 0.67 μB per formula unit
ΔE to the lowest computed polymorph = 95 meV per atom
volume = 95 Å³ per cell
ΔH_f (0 K) = -0.0004 eV per atom

The structure in CIF format:
```
data_ZrCrRu
_space_group_name_H-M_alt 'I 4 m m'
_space_group_IT_number 107
_space_group_name_Hall 'I 4 -2'
_cell_length_a 3.140
_cell_length_b 3.140
_cell_length_c 9.672
_cell_angle_alpha 90.00
_cell_angle_beta 90.00
_cell_angle_gamma 90.00
loop_
_atom_site_label
_atom_site_fract_x
_atom_site_fract_y
_atom_site_fract_z
_atom_site_occupancy
Zr1 0.000 0.000 0.000 1
Cr1 0.000 0.000 0.324 1
Ru1 0.000 0.000 0.680 1
```

=====

Computed, not measured: a geometry-optimized Cs4Rb2Cl structure at the PBE-GGA level of DFT.

## Properties
DOS(E_F) = 11.867 states/eV/cell
M_tot = 0.00 μB per formula unit
energy relative to the elements, uncorrected = -0.527 eV/atom
volume = 1219 Å³ per cell

The structure in CIF format:
```
data_Cs4Rb2Cl
_space_group_name_H-M_alt 'C 1 2/m 1'
_space_group_IT_number 12
_cell_length_a 27.125
_cell_length_b 5.218
_cell_length_c 9.136
_cell_angle_alpha 90.00
_cell_angle_beta 109.46
_cell_angle_gamma 90.00
loop_
_space_group_symop_operation_xyz
'x,y,z'
'-x,-y,-z'
'-x,y,-z'
'x,-y,z'
'x+1/2,y+1/2,z'
'-x+1/2,-y+1/2,-z'
'-x+1/2,y+1/2,-z'
'x+1/2,-y+1/2,z'
loop_
_atom_site_label
_atom_site_fract_x
_atom_site_fract_y
_atom_site_fract_z
_atom_site_occupancy
Cs1 0.078 0.000 0.239 1
Cs2 0.084 0.500 0.771 1
Rb1 0.248 0.000 0.745 1
Cl1 0.000 0.500 0.000 1
```

=====

Computed, not measured: a geometry-optimized InGaS2 structure at the PBE-GGA level of DFT.

## Properties
DOS(E_F) = 1.980 states/eV/cell
M_tot = 0.00 μB per formula unit
energy relative to the elements, uncorrected = -0.573 eV/atom
volume = 382 Å³ per cell

The structure in CIF format:
```
data_InGaS2
_space_group_name_H-M_alt 'I 4 c m'
_space_group_IT_number 108
_space_group_name_Hall 'I 4 -2c'
_cell_length_a 7.977
_cell_length_b 7.977
_cell_length_c 5.999
_cell_angle_alpha 90.00
_cell_angle_beta 90.00
_cell_angle_gamma 90.00
loop_
_atom_site_label
_atom_site_fract_x
_atom_site_fract_y
_atom_site_fract_z
_atom_site_occupancy
In1 0.000 0.000 0.000 1
Ga1 0.000 0.500 0.251 1
S1 0.155 0.345 0.001 1
```

=====

Computed, not measured: a geometry-optimized FeRh4Cl structure at the PBE-GGA level of DFT.

## Properties
DOS(E_F) = 42.029 states/eV/cell
M_tot = 6.13 μB per formula unit
energy relative to the elements, uncorrected = 0.754 eV/atom
volume = 391 Å³ per cell

The structure in CIF format:
```
data_FeRh4Cl
_space_group_name_H-M_alt 'F -4 3 m'
_space_group_IT_number 216
_space_group_name_Hall 'F -4 2 3'
_cell_length_a 7.315
_cell_length_b 7.315
_cell_length_c 7.315
_cell_angle_alpha 90.00
_cell_angle_beta 90.00
_cell_angle_gamma 90.00
loop_
_atom_site_label
_atom_site_fract_x
_atom_site_fract_y
_atom_site_fract_z
_atom_site_occupancy
Fe1 0.000 0.000 0.000 1
Rh1 0.125 0.125 0.625 1
Cl1 0.250 0.250 0.250 1
```

=====

Computed, not measured: a geometry-optimized Ho3SbPd12 structure at the PBE-GGA level of DFT.

## Properties
DOS(E_F) = 7.282 states/eV/cell
M_tot = 0.00 μB per formula unit
energy relative to the elements, uncorrected = -0.770 eV/atom
volume = 275 Å³ per cell

The structure in CIF format:
```
data_Ho3SbPd12
_space_group_name_H-M_alt 'P 4/m m m'
_space_group_IT_number 123
_space_group_name_Hall '-P 4 2'
_cell_length_a 4.104
_cell_length_b 4.104
_cell_length_c 16.345
_cell_angle_alpha 90.00
_cell_angle_beta 90.00
_cell_angle_gamma 90.00
loop_
_atom_site_label
_atom_site_fract_x
_atom_site_fract_y
_atom_site_fract_z
_atom_site_occupancy
Ho1 0.000 0.000 0.000 1
Ho2 0.000 0.000 0.249 1
Sb1 0.000 0.000 0.500 1
Pd1 0.000 0.500 0.126 1
Pd2 0.000 0.500 0.381 1
Pd3 0.500 0.500 0.000 1
Pd4 0.500 0.500 0.255 1
Pd5 0.500 0.500 0.500 1
```

=====

Computed, not measured: a geometry-optimized LaSc4Tc structure at the PBE-GGA level of DFT.

## Properties
DOS(E_F) = 40.144 states/eV/cell
M_tot = 0.03 μB per formula unit
volume = 562 Å³ per cell
ΔH_f (0 K) = 0.5248 eV per atom

The structure in CIF format:
```
data_LaSc4Tc
_space_group_name_H-M_alt 'F -4 3 m'
_space_group_IT_number 216
_space_group_name_Hall 'F -4 2 3'
_cell_length_a 8.253
_cell_length_b 8.253
_cell_length_c 8.253
_cell_angle_alpha 90.00
_cell_angle_beta 90.00
_cell_angle_gamma 90.00
loop_
_atom_site_label
_atom_site_fract_x
_atom_site_fract_y
_atom_site_fract_z
_atom_site_occupancy
La1 0.000 0.000 0.000 1
Sc1 0.123 0.123 0.623 1
Tc1 0.250 0.250 0.250 1
```

=====

Computed, not measured: a geometry-optimized Mn2TlFe structure at the PBE-GGA level of DFT.

## Properties
DOS(E_F) = 5.376 states/eV/cell
M_tot = 9.23 μB per formula unit
ΔE to the lowest computed polymorph = 78 meV per atom
volume = 125 Å³ per cell
ΔH_f (0 K) = 0.4749 eV per atom

The structure in CIF format:
```
data_Mn2TlFe
_space_group_name_H-M_alt 'I -4 m 2'
_space_group_IT_number 119
_space_group_name_Hall 'I -4 -2'
_cell_length_a 3.914
_cell_length_b 3.914
_cell_length_c 8.129
_cell_angle_alpha 90.00
_cell_angle_beta 90.00
_cell_angle_gamma 90.00
loop_
_atom_site_label
_atom_site_fract_x
_atom_site_fract_y
_atom_site_fract_z
_atom_site_occupancy
Mn1 0.000 0.000 0.000 1
Mn2 0.000 0.500 0.250 1
Tl1 0.000 0.000 0.500 1
Fe1 0.000 0.500 0.750 1
```

=====

Computed, not measured: a geometry-optimized Tb6Ir2PtI3 structure at the PBE-GGA level of DFT.

## Properties
DOS(E_F) = 11.014 states/eV/cell
M_tot = 0.00 μB per formula unit
energy relative to the elements, uncorrected = -1.046 eV/atom
volume = 703 Å³ per cell

The structure in CIF format:
```
data_Tb6Ir2PtI3
_space_group_name_H-M_alt 'C 1 2/m 1'
_space_group_IT_number 12
_cell_length_a 7.168
_cell_length_b 12.413
_cell_length_c 8.257
_cell_angle_alpha 90.00
_cell_angle_beta 106.81
_cell_angle_gamma 90.00
loop_
_space_group_symop_operation_xyz
'x,y,z'
'-x,-y,-z'
'-x,y,-z'
'x,-y,z'
'x+1/2,y+1/2,z'
'-x+1/2,-y+1/2,-z'
'-x+1/2,y+1/2,-z'
'x+1/2,-y+1/2,z'
loop_
_atom_site_label
_atom_site_fract_x
_atom_site_fract_y
_atom_site_fract_z
_atom_site_occupancy
Tb1 0.220 0.000 0.182 1
Tb2 0.231 0.330 0.182 1
Ir1 0.000 0.167 0.000 1
Pt1 0.000 0.500 0.000 1
I1 0.000 0.000 0.500 1
I2 0.000 0.333 0.500 1
```

=====

no.,total energy (eV per atom)
1,-6.23
2,-6.66
3,-9.15
4,-1.56
5,-4.08
6,-5.86
7,-5.78
8,-6.25
9,-6.82
10,-5.73